# Hf5TiGa3 PBE relaxed
# - formation energy (kJ/mol of formula units) = 92
# - V (Å³/cell) = 775
data_Hf5TiGa3
_chemical_formula_sum 'Hf20 Ti4 Ga12'
_symmetry_space_group_name_H-M 'C 1 2/m 1'
_symmetry_Int_Tables_number 12
_cell_length_a 9.531
_cell_length_b 8.168
_cell_length_c 10.061
_cell_angle_alpha 90.00
_cell_angle_beta 98.21
_cell_angle_gamma 90.00
loop_
_symmetry_equiv_pos_as_xyz
'x,y,z'
'-x,-y,-z'
'-x,y,-z'
'x,-y,z'
'x+1/2,y+1/2,z'
'-x+1/2,-y+1/2,-z'
'-x+1/2,y+1/2,-z'
'x+1/2,-y+1/2,z'
loop_
_atom_site_label
_atom_site_type_symbol
_atom_site_fract_x
_atom_site_fract_y
_atom_site_fract_z
Hf1 Hf 0.000 0.176 0.000
Hf2 Hf 0.033 0.000 0.318
Hf3 Hf 0.192 0.298 0.652
Hf4 Hf 0.227 0.000 0.853
Ti1 Ti 0.041 0.500 0.258
Ga1 Ga 0.000 0.500 0.000
Ga2 Ga 0.000 0.500 0.500
Ga3 Ga 0.221 0.000 0.552
Ga4 Ga 0.250 0.000 0.127


# HfTi6Ga3 PBE relaxed
# - formation energy (kJ/mol of formula units) = -193
# - V (Å³/cell) = 713
data_HfTi6Ga3
_chemical_formula_sum 'Hf4 Ti24 Ga12'
_symmetry_space_group_name_H-M 'C m c 21'
_symmetry_Int_Tables_number 36
_cell_length_a 9.390
_cell_length_b 10.635
_cell_length_c 7.136
_cell_angle_alpha 90.00
_cell_angle_beta 90.00
_cell_angle_gamma 90.00
loop_
_symmetry_equiv_pos_as_xyz
'x,y,z'
'-x,-y,z+1/2'
'-x,y,z'
'x,-y,z+1/2'
'x+1/2,y+1/2,z'
'-x+1/2,-y+1/2,z+1/2'
'-x+1/2,y+1/2,z'
'x+1/2,-y+1/2,z+1/2'
loop_
_atom_site_label
_atom_site_type_symbol
_atom_site_fract_x
_atom_site_fract_y
_atom_site_fract_z
Hf1 Hf 0.000 0.189 0.000
Ti1 Ti 0.000 0.266 0.429
Ti2 Ti 0.000 0.468 0.816
Ti3 Ti 0.168 0.079 0.344
Ti4 Ti 0.237 0.324 0.189
Ga1 Ga 0.000 0.070 0.648
Ga2 Ga 0.195 0.416 0.539